Compound: Pm3DyHo
Source: Alexandria via LeMat-Bulk
Functional: PBE
Structure: relaxed

abc: 5.799 6.096 9.890
angles: 90.10 107.04 90.00
Positions (direct):
Pm: 0.000 0.000 0.000
Pm: 0.105 0.459 0.208
Pm: 0.308 0.365 0.615
Pm: 0.500 0.373 0.998
Pm: 0.605 0.920 0.211
Pm: 0.808 0.004 0.617
Dy: 0.213 0.882 0.426
Dy: 0.906 0.509 0.809
Ho: 0.406 0.863 0.812
Ho: 0.712 0.485 0.423

Computed properties:
- Energy above the most stable polymorph in this dataset: 0.063 eV per atom
- Total DFT energy (no corrections): -46.16 eV per cell
- Energy of formation: 0.0708 eV/atom